DFT (PBE) results for a geometry-optimized PaTaPd2O8 structure.

Computed properties:
**Calculated total energy**: -7.65 eV per atom

Cell: 6.758 6.758 6.984 Å, 90.00 90.00 90.00°
Space group I-4m2 (No. 119)
Inequivalent atoms, fractional coordinates:
Pa  0.000  0.000  0.000 x2
Ta  0.000  0.500  0.250 x2
Pd  0.000  0.000  0.500 x2
Pd  0.000  0.500  0.750 x2
O  0.000  0.197  0.281 x8
O  0.000  0.330  0.986 x8